TaGe3I: optimized geometry, PBE-GGA.

a = 5.141 Å, b = 5.141 Å, c = 5.141 Å
α = 90.00°, β = 90.00°, γ = 90.00°
Fractional positions:
1 Ta 0.000 0.000 0.000
2 Ge 0.000 0.000 0.500
3 Ge 0.000 0.500 0.000
4 Ge 0.500 0.000 0.000
5 I 0.500 0.500 0.500

energy above the most stable polymorph in this dataset: 0 meV per atom
density: 6.425 g/cm3
calculated volume: 135.9 Å³/cell
uncorrected formation energy: 449 meV per atom

ErTe2S6: optimized geometry, PBE-GGA.

a = 7.599 Å, b = 7.735 Å, c = 9.964 Å
α = 68.79°, β = 78.66°, γ = 89.93°
Fractional positions:
1 Er 0.207 0.051 0.149
2 Er 0.793 0.949 0.851
3 Te 0.080 0.644 0.620
4 Te 0.437 0.504 0.812
5 Te 0.563 0.496 0.188
6 Te 0.920 0.356 0.380
7 S 0.045 0.135 0.923
8 S 0.163 0.164 0.388
9 S 0.204 0.701 0.368
10 S 0.256 0.437 0.045
11 S 0.310 0.807 0.687
12 S 0.442 0.880 0.995
13 S 0.558 0.120 0.005
14 S 0.690 0.193 0.313
15 S 0.744 0.563 0.955
16 S 0.796 0.299 0.632
17 S 0.837 0.836 0.612
18 S 0.955 0.865 0.077

density: 3.826 g/cm3
calculated volume: 533.7 Å³/cell
uncorrected formation energy: -398 meV per atom